1.
DFT (PBE) results for crystalline HfRe2MoPd at its relaxed geometry.

```
HfRe2MoPd
1.0
4.687 0.000 0.000
0.000 4.687 0.000
0.000 0.000 4.727
Hf Re Mo Pd
1 2 1 1
Cartesian
0.000 0.000 0.000
0.000 2.344 2.363
2.344 0.000 2.363
2.344 2.344 0.000
0.000 0.000 2.363
```

Values from the calculation:
- DFT total energy (eV/atom) = -8.144
- SG = P4/mmm (123)
- energy of formation (meV/atom) = 2030


2.
DFT (PBE) results for crystalline HfMo2PdRu at its relaxed geometry.

```
HfMo2PdRu
1.0
4.638 0.000 0.000
0.000 4.638 0.000
0.000 0.000 4.918
Hf Mo Pd Ru
1 2 1 1
Cartesian
0.000 0.000 0.000
0.000 2.319 2.459
2.319 0.000 2.459
2.319 2.319 0.000
0.000 0.000 2.459
```

Values from the calculation:
- DFT total energy (eV/atom) = -8.132
- SG = P4/mmm (123)
- energy of formation (meV/atom) = 1085


3.
DFT (PBE) results for crystalline HfMoPd2Se at its relaxed geometry.

```
HfMoPd2Se
1.0
4.898 0.000 0.000
0.000 4.898 0.000
0.000 0.000 4.992
Hf Mo Pd Se
1 1 2 1
Cartesian
0.000 0.000 0.000
2.449 2.449 2.496
0.000 2.449 0.000
2.449 0.000 0.000
0.000 0.000 2.496
```

Values from the calculation:
- DFT total energy (eV/atom) = -6.138
- formation energy without anion corrections (eV per atom) = 0.7928
- SG = P4/mmm (123)


4.
DFT (PBE) results for crystalline HfSi2MoPd at its relaxed geometry.

```
HfSi2MoPd
1.0
4.474 0.000 0.000
0.000 4.474 0.000
0.000 0.000 5.027
Hf Si Mo Pd
1 2 1 1
Cartesian
0.000 0.000 0.000
0.000 2.237 2.513
2.237 0.000 2.513
2.237 2.237 0.000
2.237 2.237 2.513
```

Values from the calculation:
- DFT total energy (eV/atom) = -6.489
- formation energy without anion corrections (eV per atom) = 0.8758
- SG = P4/mmm (123)


5.
DFT (PBE) results for crystalline HfTcMoPd2 at its relaxed geometry.

```
HfTcMoPd2
1.0
4.784 0.000 0.000
0.000 4.784 0.000
0.000 0.000 4.566
Hf Tc Mo Pd
1 1 1 2
Cartesian
0.000 0.000 0.000
2.392 2.392 2.283
2.392 2.392 0.000
0.000 2.392 2.283
2.392 0.000 2.283
```

Values from the calculation:
- DFT total energy (eV/atom) = -7.261
- SG = P4/mmm (123)
- energy of formation (meV/atom) = 1046


6.
DFT (PBE) results for crystalline HfThMoPd at its relaxed geometry.

```
HfThMoPd
1.0
0.000 3.467 3.467
3.467 0.000 3.467
3.467 3.467 0.000
Hf Th Mo Pd
1 1 1 1
Cartesian
0.000 0.000 0.000
3.467 3.467 3.467
5.200 5.200 5.200
1.733 1.733 1.733
```

Values from the calculation:
- DFT total energy (eV/atom) = -8.603
- SG = F-43m (216)
- energy of formation (meV/atom) = -253


7.
DFT (PBE) results for crystalline Hf2TlMoPd at its relaxed geometry.

```
Hf2TlMoPd
1.0
4.981 0.000 0.000
0.000 4.981 0.000
0.000 0.000 4.951
Hf Tl Mo Pd
2 1 1 1
Cartesian
0.000 2.491 0.000
2.491 0.000 0.000
0.000 0.000 2.476
2.491 2.491 0.000
2.491 2.491 2.476
```

Values from the calculation:
- DFT total energy (eV/atom) = -6.910
- SG = P4/mmm (123)
- energy of formation (meV/atom) = 750


8.
DFT (PBE) results for crystalline HfTlMo2Pd at its relaxed geometry.

```
HfTlMo2Pd
1.0
4.787 0.000 0.000
0.000 4.787 0.000
0.000 0.000 5.405
Hf Tl Mo Pd
1 1 2 1
Cartesian
0.000 0.000 0.000
0.000 0.000 2.703
0.000 2.394 0.000
2.394 0.000 0.000
2.394 2.394 2.703
```

Values from the calculation:
- DFT total energy (eV/atom) = -6.056
- SG = P4/mmm (123)
- energy of formation (meV/atom) = 1779


9.
DFT (PBE) results for crystalline Hf2MoPdW at its relaxed geometry.

```
Hf2MoPdW
1.0
4.977 0.000 0.000
0.000 4.977 0.000
0.000 0.000 4.673
Hf Mo Pd W
2 1 1 1
Cartesian
0.000 2.488 0.000
2.488 0.000 0.000
0.000 0.000 2.337
2.488 2.488 2.337
2.488 2.488 0.000
```

Values from the calculation:
- DFT total energy (eV/atom) = -8.326
- SG = P4/mmm (123)
- energy of formation (meV/atom) = 1451


10.
DFT (PBE) results for crystalline YHf2MoPd at its relaxed geometry.

```
YHf2MoPd
1.0
5.091 0.000 0.000
0.000 5.091 0.000
0.000 0.000 4.744
Y Hf Mo Pd
1 2 1 1
Cartesian
0.000 0.000 0.000
0.000 2.545 0.000
2.545 0.000 0.000
2.545 2.545 2.372
0.000 0.000 2.372
```

Values from the calculation:
- DFT total energy (eV/atom) = -6.712
- SG = P4/mmm (123)
- energy of formation (meV/atom) = 1767


11.
DFT (PBE) results for crystalline HfZn2MoPd at its relaxed geometry.

```
HfZn2MoPd
1.0
5.019 0.000 0.000
0.000 5.019 0.000
0.000 0.000 4.698
Hf Zn Mo Pd
1 2 1 1
Cartesian
0.000 0.000 0.000
0.000 2.509 0.000
2.509 0.000 0.000
0.000 0.000 2.349
2.509 2.509 2.349
```

Values from the calculation:
- DFT total energy (eV/atom) = -4.286
- SG = P4/mmm (123)
- energy of formation (meV/atom) = 1419


12.
DFT (PBE) results for crystalline HfZnMoPd2 at its relaxed geometry.

```
HfZnMoPd2
1.0
4.463 0.000 0.000
0.000 4.463 0.000
0.000 0.000 4.891
Hf Zn Mo Pd
1 1 1 2
Cartesian
0.000 0.000 0.000
0.000 0.000 2.446
2.231 2.231 0.000
0.000 2.231 2.446
2.231 0.000 2.446
```

Values from the calculation:
- DFT total energy (eV/atom) = -5.615
- SG = P4/mmm (123)
- energy of formation (meV/atom) = 874


Density of states at the Fermi level list, top to bottom, in states/eV/f.u.: 9.1, 5.0, 2.7, 4.8, 8.1, 2.8, 3.7, 5.3, 5.3, 4.6, 3.6, 5.0